VASP calculation (PBE) on a relaxed structure of Ce2SmY3Bi6.

Size of the total moment (μB/atom): 0.138
Energy relative to the elements (eV/atom): -0.87

Cell: 7.8640 7.8640 7.8474 Å, 99.61 99.61 120.00°
Fractional positions:
Y  0.1667  0.8333  0.5000
Y  0.5000  0.5000  0.5000
Y  0.8333  0.1667  0.5000
Bi  0.2477  0.2477  0.7441
Bi  0.5818  0.9149  0.7446
Bi  0.9149  0.5818  0.7446
Bi  0.0851  0.4182  0.2554
Bi  0.7523  0.7523  0.2559
Bi  0.4182  0.0851  0.2554
Sm  0.0000  0.0000  0.0000
Ce  0.6667  0.3333  0.0000
Ce  0.3333  0.6667  0.0000